The following is a DFT calculation (PBEsol) of an optimized crystal structure of Li2CaAg.

Geometry as extended XYZ:
```
4
Lattice="3.497 0.011 0.000 -0.231 4.919 0.000 -1.633 -2.465 5.280" Properties=species:S:1:pos:R:3 pbc="T T T"
Li 0.817 1.233 2.640
Ag 1.749 0.006 0.000
Ca -0.116 2.460 0.000
Li -0.817 -1.233 2.640
```

Energy of formation from the pure elements = 14 meV per atom